1.
# CrFe2Pb PBE-GGA optimized geometry
data_CrFe2Pb
_chemical_formula_sum 'Cr1 Fe2 Pb1'
_cell_length_a 3.2173
_cell_length_b 3.2173
_cell_length_c 5.9147
_cell_angle_alpha 90.00
_cell_angle_beta 90.00
_cell_angle_gamma 90.00
_space_group_name_H-M_alt 'P 4/m m m'
_space_group_IT_number 123
_space_group_name_Hall '-P 4 2'
loop_
_atom_site_label
_atom_site_type_symbol
_atom_site_fract_x
_atom_site_fract_y
_atom_site_fract_z
_atom_site_occupancy
Cr1 Cr 0.0000 0.0000 0.0000 1
Fe1 Fe 0.5000 0.5000 0.1939 1
Pb1 Pb 0.0000 0.0000 0.5000 1
# Calculated density in g/cm³: 10.060
# DOS at the Fermi energy in states/eV/atom: 0.83
# Energy in eV per atom: -7.05
# Crystal system: tetragonal
# Calculated formation energy in eV per atom: 0.52

---

2.
# TbLuZrSc PBE-GGA optimized geometry
data_TbLuZrSc
_chemical_formula_sum 'Tb4 Lu4 Zr4 Sc4'
_cell_length_a 7.5408
_cell_length_b 7.5408
_cell_length_c 7.5408
_cell_angle_alpha 90.00
_cell_angle_beta 90.00
_cell_angle_gamma 90.00
_space_group_name_H-M_alt 'F -4 3 m'
_space_group_IT_number 216
_space_group_name_Hall 'F -4 2 3'
loop_
_atom_site_label
_atom_site_type_symbol
_atom_site_fract_x
_atom_site_fract_y
_atom_site_fract_z
_atom_site_occupancy
Tb1 Tb 0.0000 0.0000 0.0000 1
Lu1 Lu 0.2500 0.2500 0.2500 1
Zr1 Zr 0.0000 0.0000 0.5000 1
Sc1 Sc 0.2500 0.2500 0.7500 1
# Calculated density in g/cm³: 7.282
# DOS at the Fermi energy in states/eV/atom: 2.06
# Energy in eV per atom: -5.83
# Crystal system: cubic
# Calculated formation energy in eV per atom: 0.17

---

3.
# Zr3BiBr PBE-GGA optimized geometry
data_Zr3BiBr
_chemical_formula_sum 'Zr3 Bi1 Br1'
_cell_length_a 5.5314
_cell_length_b 5.5314
_cell_length_c 5.5314
_cell_angle_alpha 90.00
_cell_angle_beta 90.00
_cell_angle_gamma 90.00
_space_group_name_H-M_alt 'P m -3 m'
_space_group_IT_number 221
_space_group_name_Hall '-P 4 2 3'
loop_
_atom_site_label
_atom_site_type_symbol
_atom_site_fract_x
_atom_site_fract_y
_atom_site_fract_z
_atom_site_occupancy
Zr1 Zr 0.0000 0.0000 0.5000 1
Bi1 Bi 0.0000 0.0000 0.0000 1
Br1 Br 0.5000 0.5000 0.5000 1
# Calculated density in g/cm³: 5.520
# DOS at the Fermi energy in states/eV/atom: 1.67
# E above lowest polymorph in meV per atom: 784.5
# Energy in eV per atom: -5.15
# Formation energy without anion corrections in kJ/mol of atoms: 105.4
# Crystal system: cubic

---

4.
# NpPaNb2 PBE-GGA optimized geometry
data_NpPaNb2
_chemical_formula_sum 'Np1 Pa1 Nb2'
_cell_length_a 3.3799
_cell_length_b 3.3799
_cell_length_c 7.4739
_cell_angle_alpha 90.00
_cell_angle_beta 90.00
_cell_angle_gamma 90.00
_space_group_name_H-M_alt 'P 4/m m m'
_space_group_IT_number 123
_space_group_name_Hall '-P 4 2'
loop_
_atom_site_label
_atom_site_type_symbol
_atom_site_fract_x
_atom_site_fract_y
_atom_site_fract_z
_atom_site_occupancy
Np1 Np 0.0000 0.0000 0.0000 1
Pa1 Pa 0.0000 0.0000 0.5000 1
Nb1 Nb 0.5000 0.5000 0.2085 1
# Calculated density in g/cm³: 12.716
# DOS at the Fermi energy in states/eV/atom: 2.46
# E above lowest polymorph in meV per atom: 56.7
# Energy in eV per atom: -10.18
# Crystal system: tetragonal
# Calculated formation energy in eV per atom: 0.47

---

5.
# KDyPbO3 PBE-GGA optimized geometry
data_KDyPbO3
_chemical_formula_sum 'K2 Dy2 Pb2 O6'
_cell_length_a 7.2403
_cell_length_b 3.5123
_cell_length_c 9.6539
_cell_angle_alpha 90.00
_cell_angle_beta 98.29
_cell_angle_gamma 90.00
_space_group_name_H-M_alt 'P 1 21/m 1'
_space_group_IT_number 11
loop_
_space_group_symop_operation_xyz
'x,y,z'
'-x,-y,-z'
'-x,y+1/2,-z'
'x,-y+1/2,z'
loop_
_atom_site_label
_atom_site_type_symbol
_atom_site_fract_x
_atom_site_fract_y
_atom_site_fract_z
_atom_site_occupancy
K1 K 0.0868 0.2500 0.3491 1
Dy1 Dy 0.4221 0.7500 0.6335 1
Pb1 Pb 0.2821 0.2500 0.9194 1
O1 O 0.2200 0.2500 0.6654 1
O2 O 0.3804 0.7500 0.3972 1
O3 O 0.4651 0.7500 0.8783 1
# Calculated density in g/cm³: 6.245
# DOS at the Fermi energy in states/eV/atom: 0.00
# Energy in eV per atom: -6.24
# Formation energy without anion corrections in kJ/mol of atoms: -211.9
# Crystal system: monoclinic

---

6.
# FeTcRhW PBE-GGA optimized geometry
data_FeTcRhW
_chemical_formula_sum 'Fe4 Tc4 Rh4 W4'
_cell_length_a 6.1440
_cell_length_b 6.1440
_cell_length_c 6.1440
_cell_angle_alpha 90.00
_cell_angle_beta 90.00
_cell_angle_gamma 90.00
_space_group_name_H-M_alt 'F -4 3 m'
_space_group_IT_number 216
_space_group_name_Hall 'F -4 2 3'
loop_
_atom_site_label
_atom_site_type_symbol
_atom_site_fract_x
_atom_site_fract_y
_atom_site_fract_z
_atom_site_occupancy
Fe1 Fe 0.0000 0.0000 0.0000 1
Tc1 Tc 0.2500 0.2500 0.7500 1
Rh1 Rh 0.2500 0.2500 0.2500 1
W1 W 0.0000 0.0000 0.5000 1
# Calculated density in g/cm³: 12.618
# DOS at the Fermi energy in states/eV/atom: 0.93
# Energy in eV per atom: -9.71
# Crystal system: cubic
# Calculated formation energy in eV per atom: 0.08

---

7.
# Li4CO4 PBE-GGA optimized geometry
data_Li4CO4
_chemical_formula_sum 'Li12 C3 O12'
_cell_length_a 7.5613
_cell_length_b 7.5613
_cell_length_c 5.5745
_cell_angle_alpha 90.00
_cell_angle_beta 90.00
_cell_angle_gamma 120.00
_space_group_name_H-M_alt 'R 3 m'
_space_group_IT_number 160
_space_group_name_Hall 'R 3 -2"'
loop_
_atom_site_label
_atom_site_type_symbol
_atom_site_fract_x
_atom_site_fract_y
_atom_site_fract_z
_atom_site_occupancy
Li1 Li 0.0000 0.0000 0.0000 1
Li2 Li 0.1745 0.3490 0.2813 1
C1 C 0.0000 0.0000 0.3979 1
O1 O 0.0000 0.0000 0.6553 1
O2 O 0.2019 0.1009 0.3071 1
# Calculated density in g/cm³: 1.873
# DOS at the Fermi energy in states/eV/atom: 0.00
# Energy in eV per atom: -5.78
# Formation energy without anion corrections in kJ/mol of atoms: -164.0
# Crystal system: trigonal

---

8.
# AlHgS2N PBE-GGA optimized geometry
data_AlHgS2N
_chemical_formula_sum 'Al1 Hg1 S2 N1'
_cell_length_a 4.8573
_cell_length_b 4.8573
_cell_length_c 3.7257
_cell_angle_alpha 90.00
_cell_angle_beta 90.00
_cell_angle_gamma 90.00
_space_group_name_H-M_alt 'P 4/m m m'
_space_group_IT_number 123
_space_group_name_Hall '-P 4 2'
loop_
_atom_site_label
_atom_site_type_symbol
_atom_site_fract_x
_atom_site_fract_y
_atom_site_fract_z
_atom_site_occupancy
Al1 Al 0.0000 0.0000 0.0000 1
Hg1 Hg 0.5000 0.5000 0.5000 1
S1 S 0.0000 0.5000 0.0000 1
N1 N 0.0000 0.0000 0.5000 1
# Calculated density in g/cm³: 5.775
# DOS at the Fermi energy in states/eV/atom: 0.42
# E above lowest polymorph in meV per atom: 0.0
# Energy in eV per atom: -3.80
# Formation energy without anion corrections in kJ/mol of atoms: 31.1
# Crystal system: tetragonal

---

9.
# DyY2Tm4Sc PBE-GGA optimized geometry
data_DyY2Tm4Sc
_chemical_formula_sum 'Dy1 Y2 Tm4 Sc1'
_cell_length_a 4.9307
_cell_length_b 4.9307
_cell_length_c 9.8789
_cell_angle_alpha 90.00
_cell_angle_beta 90.00
_cell_angle_gamma 90.00
_space_group_name_H-M_alt 'P 4/m m m'
_space_group_IT_number 123
_space_group_name_Hall '-P 4 2'
loop_
_atom_site_label
_atom_site_type_symbol
_atom_site_fract_x
_atom_site_fract_y
_atom_site_fract_z
_atom_site_occupancy
Dy1 Dy 0.0000 0.0000 0.0000 1
Y1 Y 0.0000 0.0000 0.5000 1
Y2 Y 0.5000 0.5000 0.0000 1
Tm1 Tm 0.0000 0.5000 0.2543 1
Sc1 Sc 0.5000 0.5000 0.5000 1
# Calculated density in g/cm³: 7.336
# DOS at the Fermi energy in states/eV/atom: 1.55
# Energy in eV per atom: -5.18
# Crystal system: tetragonal
# Calculated formation energy in eV per atom: 0.04

---

10.
# Mg2FeBr PBE-GGA optimized geometry
data_Mg2FeBr
_chemical_formula_sum 'Mg2 Fe1 Br1'
_cell_length_a 3.5603
_cell_length_b 3.5603
_cell_length_c 7.7761
_cell_angle_alpha 90.00
_cell_angle_beta 90.00
_cell_angle_gamma 90.00
_space_group_name_H-M_alt 'P 4 m m'
_space_group_IT_number 99
loop_
_space_group_symop_operation_xyz
'x,y,z'
'-y,x,z'
'-x,-y,z'
'y,-x,z'
'-x,y,z'
'y,x,z'
'x,-y,z'
'-y,-x,z'
loop_
_atom_site_label
_atom_site_type_symbol
_atom_site_fract_x
_atom_site_fract_y
_atom_site_fract_z
_atom_site_occupancy
Mg1 Mg 0.0000 0.0000 0.0000 1
Mg2 Mg 0.5000 0.5000 0.2539 1
Fe1 Fe 0.5000 0.5000 0.9068 1
Br1 Br 0.0000 0.0000 0.4332 1
# Calculated density in g/cm³: 3.106
# DOS at the Fermi energy in states/eV/atom: 1.04
# E above lowest polymorph in meV per atom: 238.3
# Energy in eV per atom: -3.17
# Formation energy without anion corrections in kJ/mol of atoms: 15.4
# Crystal system: tetragonal

---

11.
# Ho2Mg5 PBE-GGA optimized geometry
data_Ho2Mg5
_chemical_formula_sum 'Ho8 Mg20'
_cell_length_a 8.4229
_cell_length_b 13.7629
_cell_length_c 6.2788
_cell_angle_alpha 90.00
_cell_angle_beta 90.00
_cell_angle_gamma 90.00
_space_group_name_H-M_alt 'I b a m'
_space_group_IT_number 72
_space_group_name_Hall '-I 2 2c'
loop_
_atom_site_label
_atom_site_type_symbol
_atom_site_fract_x
_atom_site_fract_y
_atom_site_fract_z
_atom_site_occupancy
Ho1 Ho 0.1550 0.0856 0.0000 1
Mg1 Mg 0.0000 0.2792 0.2500 1
Mg2 Mg 0.0000 0.5000 0.2500 1
Mg3 Mg 0.2280 0.1460 0.5000 1
# Calculated density in g/cm³: 4.119
# DOS at the Fermi energy in states/eV/atom: 0.97
# Energy in eV per atom: -2.44
# Crystal system: orthorhombic
# Calculated formation energy in eV per atom: 0.01

---

12.
# Sc2OsCl PBE-GGA optimized geometry
data_Sc2OsCl
_chemical_formula_sum 'Sc8 Os4 Cl4'
_cell_length_a 6.6299
_cell_length_b 6.6299
_cell_length_c 6.6299
_cell_angle_alpha 90.00
_cell_angle_beta 90.00
_cell_angle_gamma 90.00
_space_group_name_H-M_alt 'F m -3 m'
_space_group_IT_number 225
_space_group_name_Hall '-F 4 2 3'
loop_
_atom_site_label
_atom_site_type_symbol
_atom_site_fract_x
_atom_site_fract_y
_atom_site_fract_z
_atom_site_occupancy
Sc1 Sc 0.2500 0.2500 0.2500 1
Os1 Os 0.0000 0.0000 0.0000 1
Cl1 Cl 0.0000 0.0000 0.5000 1
# Calculated density in g/cm³: 7.193
# DOS at the Fermi energy in states/eV/atom: 0.67
# E above lowest polymorph in meV per atom: 686.5
# Energy in eV per atom: -6.69
# Formation energy without anion corrections in kJ/mol of atoms: -24.9
# Crystal system: cubic

---

no.,total moment (μB/atom)
1,1.44
2,0.31
3,0.79
4,0.50
5,0.00
6,0.94
7,0.00
8,0.40
9,0.00
10,0.65
11,0.00
12,0.00